The following is a GGA-PBE calculation of a relaxed Dy3Pu crystal, from Alexandria via LeMat-Bulk.

Calculated values
Spin magnetization, μB per atom: 1.667
Offset from the most stable computed form, meV/atom: 16.4
Space group: Pmm2 (25)
V, Å³/f.u.: 122.1
Formation energy from the elements, eV/atom: 0.103
Density of states at the Fermi level, states/eV/f.u.: 11.9

```
Dy3Pu
1.0
3.4924 0.0000 0.0000
0.0000 5.6845 0.0000
0.0000 0.0000 6.1518
Dy Pu
3 1
Direct
0.0000 0.0000 0.0000
0.0000 0.5000 0.3300
0.5000 0.0000 0.5070
0.5000 0.5000 0.8303
```